A relaxed structure of Mg2SiAs4Os. Source: the Open Quantum Materials Database, functional PBE.

Cell and atoms, written as CIF:
```
data_Mg2SiAs4Os
_chemical_formula_sum 'Mg2 Si1 As4 Os1'
_cell_length_a 7.0019
_cell_length_b 7.0019
_cell_length_c 7.0019
_cell_angle_alpha 130.18
_cell_angle_beta 130.18
_cell_angle_gamma 73.11
_space_group_name_H-M_alt 'P 1'
_space_group_IT_number 1
loop_
_space_group_symop_operation_xyz
'x,y,z'
loop_
_atom_site_label
_atom_site_type_symbol
_atom_site_fract_x
_atom_site_fract_y
_atom_site_fract_z
Mg1 Mg 0.0000 0.0000 0.0000
Mg2 Mg 0.7500 0.2500 0.5000
As1 As 0.1633 0.1220 0.5359
As2 As 0.8780 0.4138 0.0412
As3 As 0.5862 0.6274 0.4641
As4 As 0.3726 0.8367 0.9588
Si1 Si 0.5000 0.5000 0.0000
Os1 Os 0.2500 0.7500 0.5000
```

Results
Total DFT energy (no corrections) in eV/cell: -38.8
Volume in Å³ per cell: 195.65
Total moment in Bohr magnetons per cell: 0.004